The following is a PBE calculation of Pr2YTm2Th2 after structural relaxation, from Alexandria via LeMat-Bulk.

abc: 6.245 6.245 7.997
angles: 96.87 96.87 47.91
Positions (direct):
Pr 0.076 0.076 0.220
Pr 0.924 0.924 0.780
Y 0.500 0.500 0.500
Tm 0.353 0.353 0.072
Tm 0.647 0.647 0.928
Th 0.216 0.216 0.642
Th 0.784 0.784 0.358

Computed properties:
Final energy: -5.6353 eV/atom
Formation energy: 0.051 eV/atom
DOS at the Fermi energy: 9.91 states/eV/cell
Crystal system: monoclinic



The following is a PBE calculation of ZnHN after structural relaxation, from Alexandria via LeMat-Bulk.

abc: 3.435 3.435 7.259
angles: 99.40 99.40 59.52
Positions (direct):
Zn 0.068 0.068 0.290
Zn 0.932 0.932 0.710
H 0.357 0.357 0.112
H 0.643 0.643 0.888
N 0.392 0.392 0.258
N 0.608 0.608 0.742

Computed properties:
Final energy: -4.3850 eV/atom
DOS at the Fermi energy: 0.29 states/eV/cell
Offset from the most stable computed form: 46 meV/atom
Crystal system: monoclinic



The following is a PBE calculation of Ac4TeIrCl2 after structural relaxation, from Alexandria via LeMat-Bulk.

abc: 7.782 4.384 8.501
angles: 90.00 109.50 90.00
Positions (direct):
Ac 0.215 0.000 0.209
Ac 0.243 0.500 0.786
Ac 0.757 0.500 0.214
Ac 0.785 0.000 0.791
Te 0.000 0.000 0.500
Ir 0.000 0.500 0.000
Cl 0.500 0.000 0.000
Cl 0.500 0.500 0.500

Computed properties:
Final energy: -5.3383 eV/atom
Raw formation energy: -1.32 eV per atom
DOS at the Fermi energy: 4.99 states/eV/cell
Crystal system: monoclinic